[1]
NbTcGe2: optimized geometry, PBE.

Cell: 3.859 3.859 18.622 Å, 90.00 90.00 90.00°
Space group I-42d (No. 122)
Inequivalent atoms, fractional coordinates:
Nb1 0.000 0.000 0.000
Tc1 0.000 0.000 0.500
Ge1 0.239 0.250 0.625

## Properties
- relative energy among the computed polymorphs (eV/atom) = 0.341
- ΔH_f (0 K) (meV/atom) = 206
- E_tot (eV/cell) = -115.38

---

[2]
NbTc3Ge: optimized geometry, PBE.

Cell: 4.745 4.745 4.745 Å, 90.00 90.00 90.00°
Space group Pm-3m (No. 221)
Inequivalent atoms, fractional coordinates:
Nb1 0.000 0.000 0.000
Tc1 0.000 0.000 0.500
Ge1 0.500 0.500 0.500

## Properties
- relative energy among the computed polymorphs (eV/atom) = 0.765
- ΔH_f (0 K) (meV/atom) = 1779
- E_tot (eV/cell) = -36.89

---

[3]
NbTcGe: optimized geometry, PBE.

Cell: 9.417 4.047 6.462 Å, 90.00 127.13 90.00°
Space group C2/m (No. 12)
Inequivalent atoms, fractional coordinates:
Nb1 0.060 0.000 0.321
Tc1 0.153 0.500 0.069
Ge1 0.164 0.500 0.694

## Properties
- relative energy among the computed polymorphs (eV/atom) = 0.203
- ΔH_f (0 K) (meV/atom) = -192
- E_tot (eV/cell) = -102.52

---

Number 1: DOS(E_F) 14.15 states/eV/cell. Number 2: DOS(E_F) 5.62 states/eV/cell. Number 3: DOS(E_F) 8.60 states/eV/cell.